No. 1
# Al6Ga2Rh

An optimized crystal structure of Al6Ga2Rh (PBE-GGA, the Alexandria database).

a = 6.9853 Å, b = 6.9853 Å, c = 3.5386 Å
α = 90.00°, β = 90.00°, γ = 120.00°
Fractional positions:
1 Al 0.0000 0.2625 0.0000
2 Al 0.0000 0.6256 0.5000
3 Al 0.2625 0.0000 0.0000
4 Al 0.3744 0.3744 0.5000
5 Al 0.6256 0.0000 0.5000
6 Al 0.7375 0.7375 0.0000
7 Ga 0.3333 0.6667 0.0000
8 Ga 0.6667 0.3333 0.0000
9 Rh 0.0000 0.0000 0.5000

Computed properties:
M_tot = 0.000 μB per atom
total DFT energy (no corrections) = -4.26 eV/atom
space-group type = No. 189

---

No. 2
# FeHg2Ir

An optimized crystal structure of FeHg2Ir (PBE-GGA, the Alexandria database).

a = 3.0151 Å, b = 4.7768 Å, c = 9.8998 Å
α = 90.00°, β = 90.00°, γ = 90.00°
Fractional positions:
1 Fe 0.0000 0.0000 0.0000
2 Fe 0.5000 0.5000 0.5000
3 Hg 0.0000 0.0000 0.4604
4 Hg 0.0000 0.5000 0.2443
5 Hg 0.5000 0.0000 0.7443
6 Hg 0.5000 0.5000 0.9604
7 Ir 0.0000 0.5000 0.6990
8 Ir 0.5000 0.0000 0.1990

Computed properties:
M_tot = 0.859 μB per atom
space-group type = No. 44
energy relative to the lowest polymorph listed for this composition = 0.163 eV/atom

---

No. 3
# K2SnS

An optimized crystal structure of K2SnS (PBE-GGA, the Alexandria database).

a = 10.0917 Å, b = 10.0917 Å, c = 5.8002 Å
α = 90.00°, β = 90.00°, γ = 90.00°
Fractional positions:
1 K 0.1496 0.2500 0.1250
2 K 0.2500 0.6496 0.3750
3 K 0.2500 0.8504 0.8750
4 K 0.3504 0.2500 0.6250
5 K 0.6496 0.7500 0.6250
6 K 0.7500 0.1496 0.8750
7 K 0.7500 0.3504 0.3750
8 K 0.8504 0.7500 0.1250
9 Sn 0.0000 0.0000 0.5000
10 Sn 0.0000 0.5000 0.7500
11 Sn 0.5000 0.0000 0.2500
12 Sn 0.5000 0.5000 0.0000
13 S 0.0000 0.0000 0.0000
14 S 0.0000 0.5000 0.2500
15 S 0.5000 0.0000 0.7500
16 S 0.5000 0.5000 0.5000

Computed properties:
ΔE_f (raw) = -1.33 eV per formula unit
M_tot = 0.000 μB per atom
space-group type = No. 122
energy relative to the lowest polymorph listed for this composition = 0.000 eV/atom

---

No. 4
# CrCd2P

An optimized crystal structure of CrCd2P (PBE-GGA, the Alexandria database).

a = 3.0530 Å, b = 3.0815 Å, c = 7.6936 Å
α = 90.00°, β = 101.22°, γ = 90.00°
Fractional positions:
1 Cr 0.0000 0.0000 0.0000
2 Cd 0.3645 0.5000 0.7277
3 Cd 0.7169 0.0000 0.4243
4 P 0.5565 0.5000 0.1143

Computed properties:
M_tot = 0.301 μB per atom
total DFT energy (no corrections) = -4.18 eV/atom
space-group type = No. 6

---

No. 5
# La2Pr3Y3

An optimized crystal structure of La2Pr3Y3 (PBE-GGA, the Alexandria database).

a = 9.0430 Å, b = 9.0430 Å, c = 17.5746 Å
α = 90.00°, β = 90.00°, γ = 156.69°
Fractional positions:
1 La 0.2251 0.7749 0.6528
2 La 0.2251 0.7749 0.8472
3 La 0.7749 0.2251 0.1528
4 La 0.7749 0.2251 0.3472
5 Pr 0.3510 0.6490 0.5067
6 Pr 0.3510 0.6490 0.9933
7 Pr 0.3945 0.6055 0.7500
8 Pr 0.6055 0.3945 0.2500
9 Pr 0.6490 0.3510 0.0067
10 Pr 0.6490 0.3510 0.4933
11 Y 0.0032 0.9968 0.6009
12 Y 0.0032 0.9968 0.8991
13 Y 0.4180 0.5820 0.2500
14 Y 0.5820 0.4180 0.7500
15 Y 0.9968 0.0032 0.1009
16 Y 0.9968 0.0032 0.3991

Computed properties:
M_tot = 0.000 μB per atom
space-group type = No. 63
energy relative to the lowest polymorph listed for this composition = 0.099 eV/atom

---

No. 6
# Sr2Zn2SbO6

An optimized crystal structure of Sr2Zn2SbO6 (PBE-GGA, the Alexandria database).

a = 6.4890 Å, b = 6.4890 Å, c = 6.4890 Å
α = 55.21°, β = 55.21°, γ = 55.21°
Fractional positions:
1 Sr 0.2072 0.2072 0.2072
2 Sr 0.7928 0.7928 0.7928
3 Zn 0.4216 0.4216 0.4216
4 Zn 0.5784 0.5784 0.5784
5 Sb 0.0000 0.0000 0.0000
6 O 0.2185 0.7657 0.7657
7 O 0.2343 0.2343 0.7815
8 O 0.2343 0.7815 0.2343
9 O 0.7657 0.2185 0.7657
10 O 0.7657 0.7657 0.2185
11 O 0.7815 0.2343 0.2343

Computed properties:
ΔE_f (raw) = -19.43 eV per formula unit
M_tot = 0.000 μB per atom
space-group type = No. 166

---

No. 7
# Pm3ErIr2

An optimized crystal structure of Pm3ErIr2 (PBE-GGA, the Alexandria database).

a = 8.5012 Å, b = 8.5012 Å, c = 8.5012 Å
α = 132.28°, β = 71.81°, γ = 129.74°
Fractional positions:
1 Pm 0.0163 0.7500 0.2663
2 Pm 0.2500 0.2500 0.0000
3 Pm 0.4837 0.7500 0.7337
4 Pm 0.5163 0.2500 0.2663
5 Pm 0.7500 0.7500 0.0000
6 Pm 0.9837 0.2500 0.7337
7 Er 0.0000 0.5000 0.5000
8 Er 0.5000 0.0000 0.5000
9 Ir 0.1364 0.2169 0.3532
10 Ir 0.3636 0.7169 0.0805
11 Ir 0.6364 0.2831 0.9195
12 Ir 0.8636 0.7831 0.6468

Computed properties:
M_tot = 0.000 μB per atom
space-group type = No. 72
energy relative to the lowest polymorph listed for this composition = 0.000 eV/atom

---

No. 8
# Li2HgRu

An optimized crystal structure of Li2HgRu (PBE-GGA, the Alexandria database).

a = 2.6563 Å, b = 4.4378 Å, c = 5.4223 Å
α = 90.00°, β = 104.17°, γ = 90.00°
Fractional positions:
1 Li 0.0000 0.0000 0.0000
2 Li 0.1049 0.5000 0.2541
3 Hg 0.3698 0.5000 0.7558
4 Ru 0.7251 0.0000 0.4758

Computed properties:
M_tot = 0.000 μB per atom
total DFT energy (no corrections) = -3.21 eV/atom
space-group type = No. 6

---

No. 9
# Y2ScHgH

An optimized crystal structure of Y2ScHgH (PBE-GGA, the Alexandria database).

a = 5.6390 Å, b = 5.6390 Å, c = 5.2016 Å
α = 90.00°, β = 90.00°, γ = 90.00°
Fractional positions:
1 Y 0.0000 0.5000 0.0000
2 Y 0.5000 0.0000 0.0000
3 Sc 0.0000 0.0000 0.0000
4 Hg 0.0000 0.0000 0.5000
5 H 0.5000 0.5000 0.5000

Computed properties:
M_tot = 0.000 μB per atom
space-group type = No. 123
energy relative to the lowest polymorph listed for this composition = 1.342 eV/atom

---

No. 10
# AlCuTeI2

An optimized crystal structure of AlCuTeI2 (PBE-GGA, the Alexandria database).

a = 5.5220 Å, b = 5.5220 Å, c = 5.4385 Å
α = 90.00°, β = 90.00°, γ = 90.00°
Fractional positions:
1 Al 0.0000 0.0000 0.0000
2 Cu 0.5000 0.5000 0.5000
3 Te 0.0000 0.0000 0.5000
4 I 0.0000 0.5000 0.0000
5 I 0.5000 0.0000 0.0000

Computed properties:
ΔE_f (raw) = 2.05 eV per formula unit
M_tot = 0.000 μB per atom
space-group type = No. 123
energy relative to the lowest polymorph listed for this composition = 0.140 eV/atom

---

No. 11
# Ac2TlGa3

An optimized crystal structure of Ac2TlGa3 (PBE-GGA, the Alexandria database).

a = 9.1871 Å, b = 9.1099 Å, c = 6.5355 Å
α = 69.71°, β = 68.44°, γ = 41.85°
Fractional positions:
1 Ac 0.2488 0.7512 0.2488
2 Ac 0.2500 0.2500 0.2500
3 Ac 0.7500 0.7500 0.7500
4 Ac 0.7512 0.2488 0.7512
5 Tl 0.1673 0.1673 0.8327
6 Tl 0.8327 0.8327 0.1673
7 Ga 0.1800 0.6603 0.8200
8 Ga 0.3404 0.3404 0.6596
9 Ga 0.3397 0.8200 0.6603
10 Ga 0.6603 0.1800 0.3397
11 Ga 0.6596 0.6596 0.3404
12 Ga 0.8200 0.3397 0.1800

Computed properties:
M_tot = 0.000 μB per atom
total DFT energy (no corrections) = -3.79 eV/atom
space-group type = No. 69

---

Please write out number 9 again, unchanged.
# Y2ScHgH

An optimized crystal structure of Y2ScHgH (PBE-GGA, the Alexandria database).

a = 5.6390 Å, b = 5.6390 Å, c = 5.2016 Å
α = 90.00°, β = 90.00°, γ = 90.00°
Fractional positions:
1 Y 0.0000 0.5000 0.0000
2 Y 0.5000 0.0000 0.0000
3 Sc 0.0000 0.0000 0.0000
4 Hg 0.0000 0.0000 0.5000
5 H 0.5000 0.5000 0.5000

Computed properties:
M_tot = 0.000 μB per atom
space-group type = No. 123
energy relative to the lowest polymorph listed for this composition = 1.342 eV/atom